one:
This record from Alexandria describes an optimized crystal structure of InBi3As. The functional is PBE.

Summary:
crystal system	cubic

Geometry as CIF:
```
data_InBi3As
_cell_length_a 5.6197
_cell_length_b 5.6197
_cell_length_c 5.6197
_cell_angle_alpha 90.00
_cell_angle_beta 90.00
_cell_angle_gamma 90.00
_space_group_name_H-M_alt 'P 1'
_space_group_IT_number 1
_space_group_name_Hall 'P 1'
loop_
_atom_site_label
_atom_site_type_symbol
_atom_site_fract_x
_atom_site_fract_y
_atom_site_fract_z
Bi1 Bi 0.5000 0.0000 0.0000
Bi2 Bi 0.0000 0.0000 0.5000
In1 In 0.5000 0.5000 0.5000
Bi3 Bi 0.0000 0.5000 0.0000
As1 As 0.0000 0.0000 0.0000
```

***

two:
This record from Alexandria describes an optimized crystal structure of InBi3As. The functional is PBE.

Summary:
crystal system	cubic

Geometry as CIF:
```
data_InBi3As
_cell_length_a 5.6991
_cell_length_b 5.6991
_cell_length_c 5.6991
_cell_angle_alpha 90.00
_cell_angle_beta 90.00
_cell_angle_gamma 90.00
_space_group_name_H-M_alt 'P 1'
_space_group_IT_number 1
_space_group_name_Hall 'P 1'
loop_
_atom_site_label
_atom_site_type_symbol
_atom_site_fract_x
_atom_site_fract_y
_atom_site_fract_z
Bi1 Bi 0.5000 0.0000 0.0000
Bi2 Bi 0.0000 0.0000 0.5000
Bi3 Bi 0.0000 0.5000 0.0000
In1 In 0.0000 0.0000 0.0000
As1 As 0.5000 0.5000 0.5000
```

***

Top of the stability list: one, leading by 46.8 kJ/mol of atoms.

***

one:
This record from Alexandria describes an optimized crystal structure of InBi2As2. The functional is PBE.

Summary:
crystal system	tetragonal

Geometry as CIF:
```
data_InBi2As2
_cell_length_a 5.4740
_cell_length_b 5.4740
_cell_length_c 6.5447
_cell_angle_alpha 65.28
_cell_angle_beta 65.28
_cell_angle_gamma 90.00
_space_group_name_H-M_alt 'P 1'
_space_group_IT_number 1
_space_group_name_Hall 'P 1'
loop_
_atom_site_label
_atom_site_type_symbol
_atom_site_fract_x
_atom_site_fract_y
_atom_site_fract_z
Bi1 Bi 0.3473 0.3473 0.3054
As1 As 0.2500 0.7500 0.5000
Bi2 Bi 0.6527 0.6527 0.6946
As2 As 0.7500 0.2500 0.5000
In1 In 0.0000 0.0000 0.0000
```

***

two:
This record from Alexandria describes an optimized crystal structure of InBi2As2. The functional is PBE.

Summary:
crystal system	tetragonal

Geometry as CIF:
```
data_InBi2As2
_cell_length_a 8.1623
_cell_length_b 8.1623
_cell_length_c 4.0081
_cell_angle_alpha 90.00
_cell_angle_beta 90.00
_cell_angle_gamma 90.00
_space_group_name_H-M_alt 'P 1'
_space_group_IT_number 1
_space_group_name_Hall 'P 1'
loop_
_atom_site_label
_atom_site_type_symbol
_atom_site_fract_x
_atom_site_fract_y
_atom_site_fract_z
In1 In 0.0000 0.0000 0.0000
Bi1 Bi 0.1528 0.6528 0.5000
In2 In 0.5000 0.5000 0.0000
As1 As 0.1560 0.3440 0.0000
Bi2 Bi 0.6528 0.8472 0.5000
As2 As 0.6560 0.1560 0.0000
Bi3 Bi 0.8472 0.3472 0.5000
Bi4 Bi 0.3472 0.1528 0.5000
As3 As 0.3440 0.8440 0.0000
As4 As 0.8440 0.6560 0.0000
```

***

three:
This record from Alexandria describes an optimized crystal structure of InBi2As2. The functional is PBE.

Summary:
crystal system	tetragonal

Geometry as CIF:
```
data_InBi2As2
_cell_length_a 8.3867
_cell_length_b 8.3867
_cell_length_c 3.8841
_cell_angle_alpha 90.00
_cell_angle_beta 90.00
_cell_angle_gamma 90.00
_space_group_name_H-M_alt 'P 1'
_space_group_IT_number 1
_space_group_name_Hall 'P 1'
loop_
_atom_site_label
_atom_site_type_symbol
_atom_site_fract_x
_atom_site_fract_y
_atom_site_fract_z
Bi1 Bi 0.8526 0.6474 0.0000
Bi2 Bi 0.3526 0.8526 0.0000
In1 In 0.5000 0.5000 0.0000
Bi3 Bi 0.6474 0.1474 0.0000
As1 As 0.6597 0.8403 0.5000
As2 As 0.1597 0.6597 0.5000
In2 In 0.0000 0.0000 0.0000
As3 As 0.3403 0.1597 0.5000
As4 As 0.8403 0.3403 0.5000
Bi4 Bi 0.1474 0.3526 0.0000
```

***

Top of the stability list: two, leading by 2.7 kJ/mol of atoms.

***

one:
This record from Alexandria describes an optimized crystal structure of BiAsIr3. The functional is PBE.

Summary:
crystal system	cubic

Geometry as CIF:
```
data_BiAsIr3
_cell_length_a 4.9747
_cell_length_b 4.9747
_cell_length_c 4.9747
_cell_angle_alpha 90.00
_cell_angle_beta 90.00
_cell_angle_gamma 90.00
_space_group_name_H-M_alt 'P 1'
_space_group_IT_number 1
_space_group_name_Hall 'P 1'
loop_
_atom_site_label
_atom_site_type_symbol
_atom_site_fract_x
_atom_site_fract_y
_atom_site_fract_z
As1 As 0.5000 0.5000 0.5000
Ir1 Ir 0.5000 0.0000 0.0000
Ir2 Ir 0.0000 0.5000 0.0000
Ir3 Ir 0.0000 0.0000 0.5000
Bi1 Bi 0.0000 0.0000 0.0000
```

***

two:
This record from Alexandria describes an optimized crystal structure of BiAsIr3. The functional is PBE.

Summary:
crystal system	cubic

Geometry as CIF:
```
data_BiAsIr3
_cell_length_a 4.6571
_cell_length_b 4.6571
_cell_length_c 4.6571
_cell_angle_alpha 90.00
_cell_angle_beta 90.00
_cell_angle_gamma 90.00
_space_group_name_H-M_alt 'P 1'
_space_group_IT_number 1
_space_group_name_Hall 'P 1'
loop_
_atom_site_label
_atom_site_type_symbol
_atom_site_fract_x
_atom_site_fract_y
_atom_site_fract_z
As1 As 0.0000 0.0000 0.0000
Ir1 Ir 0.0000 0.5000 0.0000
Ir2 Ir 0.5000 0.0000 0.0000
Bi1 Bi 0.5000 0.5000 0.5000
Ir3 Ir 0.0000 0.0000 0.5000
```

***

Top of the stability list: two, leading by 128.3 kJ/mol of atoms.

***

one:
This record from Alexandria describes an optimized crystal structure of BiAsIr2. The functional is PBE.

Summary:
crystal system	cubic

Geometry as CIF:
```
data_BiAsIr2
_cell_length_a 4.6889
_cell_length_b 4.6889
_cell_length_c 4.6889
_cell_angle_alpha 60.00
_cell_angle_beta 60.00
_cell_angle_gamma 60.00
_space_group_name_H-M_alt 'P 1'
_space_group_IT_number 1
_space_group_name_Hall 'P 1'
loop_
_atom_site_label
_atom_site_type_symbol
_atom_site_fract_x
_atom_site_fract_y
_atom_site_fract_z
As1 As 0.0000 0.0000 0.0000
Bi1 Bi 0.5000 0.5000 0.5000
Ir1 Ir 0.7500 0.7500 0.7500
Ir2 Ir 0.2500 0.2500 0.2500
```

***

two:
This record from Alexandria describes an optimized crystal structure of BiAsIr2. The functional is PBE.

Summary:
crystal system	tetragonal

Geometry as CIF:
```
data_BiAsIr2
_cell_length_a 5.4089
_cell_length_b 5.4089
_cell_length_c 7.5834
_cell_angle_alpha 69.11
_cell_angle_beta 69.11
_cell_angle_gamma 90.00
_space_group_name_H-M_alt 'P 1'
_space_group_IT_number 1
_space_group_name_Hall 'P 1'
loop_
_atom_site_label
_atom_site_type_symbol
_atom_site_fract_x
_atom_site_fract_y
_atom_site_fract_z
Ir1 Ir 0.5691 0.1250 0.2500
Bi1 Bi 0.0000 0.0000 0.0000
Ir2 Ir 0.8750 0.8191 0.7500
Ir3 Ir 0.3750 0.4309 0.7500
Bi2 Bi 0.7500 0.2500 0.5000
Ir4 Ir 0.1809 0.6250 0.2500
As1 As 0.2500 0.7500 0.5000
As2 As 0.5000 0.5000 0.0000
```

***

Top of the stability list: two, leading by 20.0 kJ/mol of atoms.

***

one:
This record from Alexandria describes an optimized crystal structure of KBi2As. The functional is PBE.

Summary:
crystal system	tetragonal

Geometry as CIF:
```
data_KBi2As
_cell_length_a 9.1459
_cell_length_b 9.1459
_cell_length_c 7.2361
_cell_angle_alpha 50.81
_cell_angle_beta 50.81
_cell_angle_gamma 90.00
_space_group_name_H-M_alt 'P 1'
_space_group_IT_number 1
_space_group_name_Hall 'P 1'
loop_
_atom_site_label
_atom_site_type_symbol
_atom_site_fract_x
_atom_site_fract_y
_atom_site_fract_z
Bi1 Bi 0.3750 0.3127 0.7500
Bi2 Bi 0.8750 0.9373 0.7500
As1 As 0.7500 0.2500 0.5000
Bi3 Bi 0.0627 0.6250 0.2500
K1 K 0.2500 0.7500 0.5000
Bi4 Bi 0.6873 0.1250 0.2500
As2 As 0.0000 0.0000 0.0000
K2 K 0.5000 0.5000 0.0000
```

***

two:
This record from Alexandria describes an optimized crystal structure of KBi2As. The functional is PBE.

Summary:
crystal system	cubic

Geometry as CIF:
```
data_KBi2As
_cell_length_a 5.5273
_cell_length_b 5.5273
_cell_length_c 5.5273
_cell_angle_alpha 60.00
_cell_angle_beta 60.00
_cell_angle_gamma 60.00
_space_group_name_H-M_alt 'P 1'
_space_group_IT_number 1
_space_group_name_Hall 'P 1'
loop_
_atom_site_label
_atom_site_type_symbol
_atom_site_fract_x
_atom_site_fract_y
_atom_site_fract_z
Bi1 Bi 0.7500 0.7500 0.7500
As1 As 0.5000 0.5000 0.5000
Bi2 Bi 0.2500 0.2500 0.2500
K1 K 0.0000 0.0000 0.0000
```

***

Top of the stability list: one, leading by 21.7 kJ/mol of atoms.

***

one:
This record from Alexandria describes an optimized crystal structure of K8Bi2As. The functional is PBE.

Summary:
crystal system	monoclinic

Geometry as CIF:
```
data_K8Bi2As
_cell_length_a 6.0185
_cell_length_b 8.2161
_cell_length_c 10.7432
_cell_angle_alpha 110.61
_cell_angle_beta 106.27
_cell_angle_gamma 90.00
_space_group_name_H-M_alt 'P 1'
_space_group_IT_number 1
_space_group_name_Hall 'P 1'
loop_
_atom_site_label
_atom_site_type_symbol
_atom_site_fract_x
_atom_site_fract_y
_atom_site_fract_z
K1 K 0.3960 0.5838 0.7920
K2 K 0.6040 0.4162 0.2080
Bi1 Bi 0.8260 0.3200 0.6521
K3 K 0.7928 0.7279 0.5855
As1 As 0.5000 0.0000 0.0000
K4 K 0.6538 0.9377 0.3075
Bi2 Bi 0.1740 0.6800 0.3479
K5 K 0.3462 0.0623 0.6925
K6 K 0.0138 0.7823 0.0275
K7 K 0.2072 0.2721 0.4145
K8 K 0.9862 0.2177 0.9725
```

***

two:
This record from Alexandria describes an optimized crystal structure of K8Bi2As. The functional is PBE.

Summary:
crystal system	monoclinic

Geometry as CIF:
```
data_K8Bi2As
_cell_length_a 5.7920
_cell_length_b 8.7199
_cell_length_c 10.7908
_cell_angle_alpha 113.85
_cell_angle_beta 105.60
_cell_angle_gamma 89.92
_space_group_name_H-M_alt 'P 1'
_space_group_IT_number 1
_space_group_name_Hall 'P 1'
loop_
_atom_site_label
_atom_site_type_symbol
_atom_site_fract_x
_atom_site_fract_y
_atom_site_fract_z
K1 K 0.6369 0.2188 0.9091
Bi1 Bi 0.7943 0.6074 0.2251
K2 K 0.5398 0.7490 0.7163
K3 K 0.7323 0.9418 0.1019
K4 K 0.3398 0.8704 0.3164
Bi2 Bi 0.4785 0.2913 0.5930
K5 K 0.9326 0.4631 0.5018
As1 As 0.1361 0.9482 0.9091
K6 K 0.1368 0.5552 0.9091
K7 K 0.9845 0.0253 0.6049
K8 K 0.2884 0.3295 0.2133
```

***

Top of the stability list: one, leading by 0.8 kJ/mol of atoms.